[1]
Below is a relaxed Ti2CoPd2 crystal, with properties calculated at the PBE-GGA level.

```
Ti2CoPd2
1.0
6.968 0.000 0.000
0.000 6.968 0.000
0.000 0.000 3.226
Co Pd Ti
2 4 4
Direct
0.000 0.000 0.000
0.500 0.500 0.000
0.139 0.639 0.500
0.639 0.861 0.500
0.861 0.361 0.500
0.361 0.139 0.500
0.335 0.835 0.000
0.835 0.665 0.000
0.665 0.165 0.000
0.165 0.335 0.000
```

Summary:
E_form, eV/atom: -0.124
Polymorph energy (0 for the lowest one), eV/atom: 0.269

=====

[2]
Below is a relaxed Ti2CoPd9 crystal, with properties calculated at the PBE-GGA level.

```
Ti2CoPd9
1.0
3.909 0.000 0.000
0.000 3.909 0.000
0.000 0.000 11.741
Ti Co Pd
2 1 9
Direct
0.000 0.000 0.328
0.000 0.000 0.672
0.000 0.000 0.000
0.500 0.500 0.000
0.500 0.500 0.334
0.500 0.500 0.666
0.500 0.000 0.167
0.500 0.000 0.500
0.500 0.000 0.833
0.000 0.500 0.167
0.000 0.500 0.500
0.000 0.500 0.833
```

Summary:
E_form, eV/atom: -0.410

=====

[3]
Below is a relaxed TiCoPd crystal, with properties calculated at the PBE-GGA level.

```
TiCoPd
1.0
4.721 -0.899 -0.595
1.381 2.557 0.010
-1.264 0.658 6.450
Ti Co Pd
2 2 2
Direct
0.950 0.525 0.759
0.050 0.475 0.241
0.701 0.149 0.972
0.299 0.851 0.028
0.664 0.168 0.384
0.336 0.832 0.616
```

Summary:
E_form, eV/atom: -0.429
Polymorph energy (0 for the lowest one), eV/atom: 0.000

=====

[4]
Below is a relaxed Ti6CoPd2 crystal, with properties calculated at the PBE-GGA level.

```
Ti6CoPd2
1.0
4.289 0.000 -0.166
0.000 6.012 0.000
-1.898 -3.006 6.363
Ti Co Pd
6 1 2
Direct
0.157 0.399 0.315
0.843 0.084 0.685
0.843 0.601 0.685
0.500 0.234 0.000
0.157 0.916 0.315
0.500 0.766 0.000
0.000 0.000 0.000
0.668 0.668 0.335
0.332 0.332 0.665
```

Summary:
E_form, eV/atom: -0.008

=====

Which of these has the lowest E_form?
TiCoPd

=====

What is the E_form in the first record?
-0.124 eV/atom